TlIn2Cl | PBE | optimized geometry

Theoretical density   6.9 g/cm³
Energy above the most stable polymorph in this dataset   0.29 eV per formula unit
Uncorrected energy   -2.704 eV per atom
DOS(E_F)   0.361 states/eV per atom
Formation energy from raw total energies   -282 meV/atom

Lattice parameters (Å, degrees): 3.9889 5.7199 9.8788 90.00 90.00 90.00
With the nearest neighbours (Å) after each atom.
Space group Cmm2 (No. 35)
Asymmetric unit:
Tl1 0.0000 0.0000 0.0000 [2 per cell]  2 Cl 3.22, 2 In 3.37, 4 Tl 3.49
In1 0.0000 0.0000 0.5352 [2 per cell]  2 Cl 2.87
In2 0.0000 0.5000 0.2750 [2 per cell]  6 In 3.25-3.49, 2 Tl 3.37
Cl1 0.0000 0.5000 0.7446 [2 per cell]  2 In 2.87, 2 Tl 3.22